An optimized crystal structure of KCuTeWSe2, computed with PBE-GGA.

Computed properties:
Calculated density   6.15 g/cm³
Final energy   -4.952 eV/atom

```
data_KCuTeWSe2
_cell_length_a 3.900
_cell_length_b 15.569
_cell_length_c 10.175
_cell_angle_alpha 90.00
_cell_angle_beta 90.00
_cell_angle_gamma 90.00
_symmetry_space_group_name_H-M 'C m c m'
_symmetry_Int_Tables_number 63
_symmetry_space_group_name_Hall '-C 2c 2'
loop_
_atom_site_label
_atom_site_type_symbol
_atom_site_fract_x
_atom_site_fract_y
_atom_site_fract_z
K1 K 0.000 0.224 0.250
Cu1 Cu 0.000 0.474 0.750
Te1 Te 0.000 0.084 0.750
W1 W 0.000 0.000 0.000
Se1 Se 0.000 0.392 0.552
```